Material: Mn2AlFe
Method: DFT, GGA-PBEsol
State: relaxed

a b c (Å): 2.5653 3.5030 5.1111
angles (deg): 90.00 90.00 90.00
Last column: nearest neighbours and their distance in Å.
Space group Pmm2 (No. 25)
Symmetry-distinct sites (fractional):
Mn  0.0000  0.0000  0.0000  6 Mn 2.47-2.57, 4 Fe 2.53, 2 Al 2.55-2.56
Mn  0.5000  0.5000  0.2309  6 Mn 2.47-2.57, 2 Fe 2.48-2.63, 4 Al 2.57
Al  0.0000  0.0000  0.5016  4 Fe 2.50, 6 Mn 2.55-2.57, 2 Al 2.57
Fe  0.5000  0.5000  0.7457  6 Mn 2.48-2.63, 4 Al 2.50, 2 Fe 2.57

Output
- D(E_F) (states/eV per cell) = 3.21
- crystal system = orthorhombic
- ρ (g cm⁻³) = 6.97
- uncorrected energy (eV/atom) = -8.202